4
Lattice="1.220 -3.387 0.000 1.220 3.387 0.000 0.000 0.000 6.618" Properties=species:S:1:pos:R:3 comment="PBE C3Se, optimized geometry" formation_energy_uncorrected_ev_per_atom=2.184 relative_energy_mev_per_atom=862 n_ef_per_ev_cell=2.232 m_tot_mub_per_fu=0.00 pbc="T T T"
C 0.000 0.000 0.000
C 1.220 0.000 0.889
C 1.220 0.000 5.729
Se 0.000 0.000 3.309